# 1
Compound: Ce3DyAl8
Source: Alexandria via LeMat-Bulk
Functional: PBE
Structure: optimized geometry

Cell: 5.6188 5.6188 9.0556 Å, 90.00 90.00 120.00°
Space group P3m1 (No. 156)
Asymmetric unit:
Ce (0.0000, 0.0000, 0.0000) (multiplicity 1)
Ce (0.0000, 0.0000, 0.3280) (multiplicity 1)
Ce (0.3333, 0.6667, 0.8475) (multiplicity 1)
Dy (0.3333, 0.6667, 0.4848) (multiplicity 1)
Al (0.0099, 0.5049, 0.1653) (multiplicity 3)
Al (0.3236, 0.1618, 0.6621) (multiplicity 3)
Al (0.6667, 0.3333, 0.4127) (multiplicity 1)
Al (0.6667, 0.3333, 0.9125) (multiplicity 1)

Properties
**E above lowest polymorph**: 0.0066 eV per atom
**E**: -4.823 eV per atom
**Energy relative to the elements**: -461 meV/atom


# 2
Compound: CeDy2Al
Source: Alexandria via LeMat-Bulk
Functional: PBE
Structure: optimized geometry

Cell: 3.474 3.474 8.952 Å, 90.00 90.00 90.00°
Space group P4/mmm (No. 123)
Asymmetric unit:
Ce (0.000, 0.000, 0.000) (multiplicity 1)
Dy (0.500, 0.500, 0.282) (multiplicity 2)
Al (0.000, 0.000, 0.500) (multiplicity 1)

Properties
**E above lowest polymorph**: 0.0000 eV per atom
**E**: -4.868 eV per atom
**Energy relative to the elements**: -148 meV/atom


# 3
Compound: CeDy2Al
Source: Alexandria via LeMat-Bulk
Functional: PBE
Structure: optimized geometry

Cell: 3.3791 3.3791 35.2146 Å, 90.00 90.00 120.00°
Space group R-3m (No. 166, hexagonal axes)
Asymmetric unit:
Ce (0.0000, 0.0000, 0.0000) (multiplicity 3)
Dy (0.0000, 0.0000, 0.4135) (multiplicity 6)
Al (0.0000, 0.0000, 0.5000) (multiplicity 3)

Properties
**E above lowest polymorph**: 0.4284 eV per atom
**E**: -4.440 eV per atom
**Energy relative to the elements**: 280 meV/atom


# 4
Compound: CeDy4Al2
Source: Alexandria via LeMat-Bulk
Functional: PBE
Structure: optimized geometry

Cell: 8.034 6.480 8.221 Å, 90.00 117.27 90.00°
Space group P2_1/m (No. 11)
Asymmetric unit:
Ce (0.183, 0.250, 0.250) (multiplicity 2)
Dy (0.050, 0.250, 0.546) (multiplicity 2)
Dy (0.262, 0.505, 0.933) (multiplicity 4)
Dy (0.386, 0.750, 0.596) (multiplicity 2)
Al (0.111, 0.750, 0.169) (multiplicity 2)
Al (0.484, 0.250, 0.705) (multiplicity 2)

Properties
**E**: -4.615 eV per atom
**Energy relative to the elements**: -68 meV/atom


# 5
Compound: CeDy5Al4
Source: Alexandria via LeMat-Bulk
Functional: PBE
Structure: optimized geometry

Cell: 3.428 3.428 20.989 Å, 90.00 90.00 90.00°
Space group P4/mmm (No. 123)
Asymmetric unit:
Ce (0.000, 0.000, 0.000) (multiplicity 1)
Dy (0.500, 0.500, 0.121) (multiplicity 2)
Dy (0.500, 0.500, 0.311) (multiplicity 2)
Dy (0.500, 0.500, 0.500) (multiplicity 1)
Al (0.000, 0.000, 0.215) (multiplicity 2)
Al (0.000, 0.000, 0.405) (multiplicity 2)

Properties
**E**: -4.692 eV per atom
**Energy relative to the elements**: -300 meV/atom


# 6
Compound: Ce4DyAl3
Source: Alexandria via LeMat-Bulk
Functional: PBE
Structure: optimized geometry

Cell: 14.082 4.967 5.687 Å, 90.00 101.96 90.00°
Space group C2/m (No. 12)
Asymmetric unit:
Ce (0.147, 0.000, 0.071) (multiplicity 4)
Ce (0.236, 0.500, 0.272) (multiplicity 4)
Dy (0.000, 0.000, 0.500) (multiplicity 2)
Al (0.000, 0.500, 0.000) (multiplicity 2)
Al (0.127, 0.500, 0.704) (multiplicity 4)

Properties
**E**: -5.119 eV per atom
**Energy relative to the elements**: -173 meV/atom


# 7
Compound: CeDy2Al
Source: Alexandria via LeMat-Bulk
Functional: PBE
Structure: optimized geometry

Cell: 7.532 7.532 7.532 Å, 90.00 90.00 90.00°
Space group F-43m (No. 216)
Asymmetric unit:
Ce (0.000, 0.000, 0.000) (multiplicity 4)
Dy (0.000, 0.000, 0.500) (multiplicity 4)
Dy (0.250, 0.250, 0.250) (multiplicity 4)
Al (0.250, 0.250, 0.750) (multiplicity 4)

Properties
**E above lowest polymorph**: 0.1150 eV per atom
**E**: -4.754 eV per atom
**Energy relative to the elements**: -33 meV/atom


# 8
Compound: CeDy7Al4
Source: Alexandria via LeMat-Bulk
Functional: PBE
Structure: optimized geometry

Cell: 13.924 5.442 10.353 Å, 90.00 124.22 90.00°
Space group C2/m (No. 12)
Asymmetric unit:
Ce (0.000, 0.000, 0.000) (multiplicity 2)
Dy (0.000, 0.500, 0.000) (multiplicity 2)
Dy (0.067, 0.000, 0.393) (multiplicity 4)
Dy (0.208, 0.500, 0.653) (multiplicity 4)
Dy (0.211, 0.000, 0.879) (multiplicity 4)
Al (0.055, 0.500, 0.762) (multiplicity 4)
Al (0.175, 0.500, 0.332) (multiplicity 4)

Properties
**E**: -4.481 eV per atom
**Energy relative to the elements**: -54 meV/atom


# 9
Compound: Ce3DyAl8
Source: Alexandria via LeMat-Bulk
Functional: PBE
Structure: optimized geometry

Cell: 5.6089 5.6089 27.4239 Å, 90.00 90.00 120.00°
Space group R3m (No. 160, hexagonal axes)
Asymmetric unit:
Ce (0.0000, 0.0000, 0.0000) (multiplicity 3)
Ce (0.0000, 0.0000, 0.1231) (multiplicity 3)
Ce (0.0000, 0.0000, 0.6266) (multiplicity 3)
Dy (0.0000, 0.0000, 0.5000) (multiplicity 3)
Al (0.0000, 0.0000, 0.3120) (multiplicity 3)
Al (0.0000, 0.0000, 0.8125) (multiplicity 3)
Al (0.0003, 0.5001, 0.0632) (multiplicity 9)
Al (0.1673, 0.3345, 0.8950) (multiplicity 9)

Properties
**E above lowest polymorph**: 0.0000 eV per atom
**E**: -4.830 eV per atom
**Energy relative to the elements**: -468 meV/atom


# 10
Compound: CeDyErAl
Source: Alexandria via LeMat-Bulk
Functional: PBE
Structure: optimized geometry

Cell: 7.516 7.516 7.516 Å, 90.00 90.00 90.00°
Space group F-43m (No. 216)
Asymmetric unit:
Ce (0.000, 0.000, 0.000) (multiplicity 4)
Dy (0.000, 0.000, 0.500) (multiplicity 4)
Er (0.250, 0.250, 0.750) (multiplicity 4)
Al (0.250, 0.250, 0.250) (multiplicity 4)

Properties
**E**: -4.754 eV per atom
**Energy relative to the elements**: -43 meV/atom


# 11
Compound: CeEuDyAl
Source: Alexandria via LeMat-Bulk
Functional: PBE
Structure: optimized geometry

Cell: 7.641 7.641 7.641 Å, 90.00 90.00 90.00°
Space group F-43m (No. 216)
Asymmetric unit:
Ce (0.000, 0.000, 0.000) (multiplicity 4)
Eu (0.250, 0.250, 0.250) (multiplicity 4)
Dy (0.000, 0.000, 0.500) (multiplicity 4)
Al (0.250, 0.250, 0.750) (multiplicity 4)

Properties
**E**: -6.138 eV per atom
**Energy relative to the elements**: 0 meV/atom


# 12
Compound: CeDyAlHg
Source: Alexandria via LeMat-Bulk
Functional: PBE
Structure: optimized geometry

Cell: 7.451 7.451 7.451 Å, 90.00 90.00 90.00°
Space group F-43m (No. 216)
Asymmetric unit:
Ce (0.000, 0.000, 0.000) (multiplicity 4)
Dy (0.000, 0.000, 0.500) (multiplicity 4)
Al (0.250, 0.250, 0.250) (multiplicity 4)
Hg (0.250, 0.250, 0.750) (multiplicity 4)

Properties
**E**: -3.962 eV per atom
**Energy relative to the elements**: -316 meV/atom